# Sn2TePdBr

A relaxed Sn2TePdBr crystal (PBE, Alexandria).

Structure (CIF):
```
data_Sn2TePdBr
_chemical_formula_sum 'Sn2 Te1 Pd1 Br1'
_space_group_name_H-M_alt 'P 4/m m m'
_space_group_IT_number 123
_space_group_name_Hall '-P 4 2'
_cell_length_a 5.3861
_cell_length_b 5.3861
_cell_length_c 4.9709
_cell_angle_alpha 90.00
_cell_angle_beta 90.00
_cell_angle_gamma 90.00
loop_
_atom_site_label
_atom_site_type_symbol
_atom_site_fract_x
_atom_site_fract_y
_atom_site_fract_z
_atom_site_occupancy
Sn1 Sn 0.0000 0.5000 0.0000 1
Te1 Te 0.0000 0.0000 0.5000 1
Pd1 Pd 0.5000 0.5000 0.0000 1
Br1 Br 0.5000 0.5000 0.5000 1
```

Formation energy (no corrections) in eV/atom: -0.075